No. 1
SrAl2Co | the Alexandria database | meta-GGA SCAN | PBEsol geometry; total DFT energy (no corrections) = -54.25 eV/f.u.; energy of formation from the pure elements = 0.83 eV/f.u.; D(E_F) = 1.3 states/eV per cell; volume = 18.4 A^3/atom
1.0
0.000 3.325 3.325
3.325 0.000 3.325
3.325 3.325 0.000
Sr Al Co
1 2 1
direct
0.000 0.000 0.000
0.500 0.500 0.500
0.750 0.750 0.750
0.250 0.250 0.250

=====

No. 2
CaH2Os | the Alexandria database | meta-GGA SCAN | PBEsol geometry; total DFT energy (no corrections) = -84.96 eV/f.u.; D(E_F) = 2.6 states/eV per cell; volume = 11.0 A^3/atom
1.0
0.000 2.800 2.800
2.800 0.000 2.800
2.800 2.800 0.000
Ca H Os
1 2 1
direct
0.000 0.000 0.000
0.250 0.250 0.250
0.750 0.750 0.750
0.500 0.500 0.500

=====

No. 3
MgBBr2 | the Alexandria database | meta-GGA SCAN | PBEsol geometry; uncorrected formation energy = 0.51 eV per atom; energy above the lowest structure with this stoichiometry = 319 meV per atom; total DFT energy (no corrections) = -49.29 eV/f.u.; D(E_F) = 1.4 states/eV per cell; volume = 19.5 A^3/atom
1.0
0.000 3.390 3.390
3.390 0.000 3.390
3.390 3.390 0.000
Mg B Br
1 1 2
direct
0.000 0.000 0.000
0.500 0.500 0.500
0.250 0.250 0.250
0.750 0.750 0.750

=====

No. 4
Rb2MnCl4 | the Alexandria database | meta-GGA SCAN | PBEsol geometry; uncorrected formation energy = -1.97 eV per atom; total DFT energy (no corrections) = -105.41 eV/f.u.; D(E_F) = 0.0 states/eV per cell; volume = 28.4 A^3/atom
1.0
-2.495 2.495 7.998
2.495 -2.495 7.998
2.495 2.495 -7.998
Rb Mn Cl
2 1 4
direct
0.141 0.141 0.000
0.859 0.859 0.000
0.500 0.500 0.000
0.000 0.500 0.500
0.344 0.344 0.000
0.500 0.000 0.500
0.656 0.656 0.000

=====

No. 5
SrHfTe2N | the Alexandria database | meta-GGA SCAN | PBEsol geometry; uncorrected formation energy = -0.92 eV per atom; total DFT energy (no corrections) = -173.36 eV/f.u.; D(E_F) = 1.7 states/eV per cell; volume = 26.5 A^3/atom
1.0
5.723 0.000 0.000
0.000 5.723 0.000
0.000 0.000 4.044
Sr Hf Te N
1 1 2 1
direct
0.000 0.000 0.000
0.500 0.500 0.500
0.000 0.500 0.500
0.500 0.000 0.500
0.500 0.500 0.000

=====

No. 6
BeZnRh2 | the Alexandria database | meta-GGA SCAN | PBEsol geometry; energy above the lowest structure with this stoichiometry = 314 meV per atom; total DFT energy (no corrections) = -86.36 eV/f.u.; energy of formation from the pure elements = -0.95 eV/f.u.; D(E_F) = 1.5 states/eV per cell; volume = 12.4 A^3/atom
1.0
2.842 0.000 0.000
0.000 3.935 0.000
0.000 0.000 4.452
Be Zn Rh
1 1 2
direct
0.000 0.000 0.000
0.500 0.000 0.500
0.000 0.500 0.500
0.500 0.500 0.000

=====

No. 7
LiCo4Si | the Alexandria database | meta-GGA SCAN | PBEsol geometry; uncorrected formation energy = 0.14 eV per atom; total DFT energy (no corrections) = -80.77 eV/f.u.; D(E_F) = 5.2 states/eV per cell; volume = 11.3 A^3/atom
1.0
0.000 3.238 3.238
3.238 0.000 3.238
3.238 3.238 0.000
Li Co Si
1 4 1
direct
0.000 0.000 0.000
0.126 0.625 0.625
0.625 0.126 0.625
0.625 0.625 0.126
0.625 0.625 0.625
0.250 0.250 0.250

=====

No. 8
TbH2ClO2 | the Alexandria database | meta-GGA SCAN | PBEsol geometry; total DFT energy (no corrections) = -87.93 eV/f.u.; D(E_F) = 0.0 states/eV per cell; volume = 11.5 A^3/atom
1.0
6.150 0.000 0.000
0.000 3.610 0.000
-1.882 0.000 6.239
Tb H Cl O
2 4 2 4
direct
0.214 0.250 0.386
0.786 0.750 0.614
0.145 0.250 0.812
0.375 0.750 0.738
0.625 0.250 0.262
0.855 0.750 0.188
0.266 0.750 0.064
0.734 0.250 0.936
0.048 0.250 0.663
0.397 0.750 0.594
0.603 0.250 0.406
0.952 0.750 0.337